1.
Density functional theory data (PBE) for a geometry-optimized Ac5Ge2IrO structure. Values from VASP.

Geometry as Quantum ESPRESSO input:
```
&SYSTEM
  ibrav = 0, nat = 18, ntyp = 4
/
ATOMIC_SPECIES
Ac 227.00 Ac.upf
Ge 72.64 Ge.upf
Ir 192.22 Ir.upf
O 16.00 O.upf
ATOMIC_POSITIONS angstrom
Ac 0.0000 6.2498 0.1692
Ac 2.2749 3.2309 11.8674
Ac 0.0000 8.9313 10.0676
Ac 0.0000 5.2246 9.1726
Ac 2.2749 8.8187 6.5527
Ac 2.2749 2.9584 6.8377
Ac 0.0000 5.9774 5.1989
Ac 2.2749 0.2770 3.3990
Ac 2.2749 3.9837 2.5041
Ac 0.0000 0.3896 13.2213
Ge 2.2749 6.7499 11.2033
Ge 0.0000 1.8953 9.1344
Ge 0.0000 2.4584 4.5348
Ge 2.2749 7.3129 2.4659
Ir 2.2749 5.8463 7.2486
Ir 0.0000 3.3620 0.5801
O 2.2749 0.6719 12.2586
O 0.0000 8.5363 5.5901
CELL_PARAMETERS angstrom
4.5498 0.0000 0.0000
-2.2749 9.2083 0.0000
0.0000 0.0000 13.3370
```

Results
DOS(E_F), states/eV/cell: 9.85
M_tot, μB/atom: 0.000
Raw formation energy, eV per atom: -1.100
Symmetry: Cmc2_1

***

2.
Density functional theory data (PBE) for a geometry-optimized AcGe2IrOs structure. Values from VASP.

Geometry as Quantum ESPRESSO input:
```
&SYSTEM
  ibrav = 0, nat = 5, ntyp = 4
/
ATOMIC_SPECIES
Ac 227.00 Ac.upf
Ge 72.64 Ge.upf
Ir 192.22 Ir.upf
Os 190.23 Os.upf
ATOMIC_POSITIONS angstrom
Ac 0.0000 0.0000 0.0000
Ge 2.1627 2.1627 1.4361
Ge 0.0000 0.0000 3.9116
Ir 0.0000 2.1627 2.6738
Os 2.1627 0.0000 2.6738
CELL_PARAMETERS angstrom
4.3255 0.0000 0.0000
0.0000 4.3255 0.0000
-2.1627 -2.1627 5.3477
```

Results
DOS(E_F), states/eV/cell: 2.82
M_tot, μB/atom: 0.000
E_form, eV per atom: -0.563
Symmetry: I-4m2

***

3.
Density functional theory data (PBE) for a geometry-optimized Ac2GeP3Ir4 structure. Values from VASP.

Geometry as Quantum ESPRESSO input:
```
&SYSTEM
  ibrav = 0, nat = 10, ntyp = 4
/
ATOMIC_SPECIES
Ac 227.00 Ac.upf
Ge 72.64 Ge.upf
P 30.97 P.upf
Ir 192.22 Ir.upf
ATOMIC_POSITIONS angstrom
Ac 2.1338 0.0000 2.5489
Ac 0.0000 2.1338 7.5286
Ge 2.1338 2.1338 5.0387
P 0.0000 0.0000 5.0387
P 2.1338 0.0000 8.7213
P 0.0000 2.1338 1.3562
Ir 2.1338 2.1338 0.0000
Ir 0.0000 0.0000 0.0000
Ir 2.1338 0.0000 6.2978
Ir 0.0000 2.1338 3.7797
CELL_PARAMETERS angstrom
4.2677 0.0000 0.0000
0.0000 4.2677 0.0000
0.0000 0.0000 10.0775
```

Results
DOS(E_F), states/eV/cell: 6.02
M_tot, μB/atom: 0.000
E_form, eV per atom: -0.832
Symmetry: P-4m2